[1]
# AsPtCl2 | the Alexandria database | GGA-PBE | optimized geometry
data_AsPtCl2
_chemical_formula_sum 'As2 Pt2 Cl4'
_cell_length_a 3.148
_cell_length_b 6.072
_cell_length_c 10.604
_cell_angle_alpha 90.00
_cell_angle_beta 90.00
_cell_angle_gamma 90.00
_space_group_name_H-M_alt 'C m m m'
_space_group_IT_number 65
_space_group_name_Hall '-C 2 2'
loop_
_atom_site_label
_atom_site_fract_x
_atom_site_fract_y
_atom_site_fract_z
As1 0.000 0.000 0.000
Pt1 0.000 0.000 0.500
Cl1 0.000 0.500 0.338
# **E_form (uncorrected)**: 1.15 eV/f.u.
# **DFT total energy**: -26.5 eV per cell
# **Excess energy over the best structure of this formula in the dataset**: 766 meV per atom

[2]
# AsPtCl2 | the Alexandria database | GGA-PBE | optimized geometry
data_AsPtCl2
_chemical_formula_sum 'As2 Pt2 Cl4'
_cell_length_a 5.832
_cell_length_b 6.574
_cell_length_c 4.043
_cell_angle_alpha 90.00
_cell_angle_beta 90.00
_cell_angle_gamma 90.00
_space_group_name_H-M_alt 'C m m m'
_space_group_IT_number 65
_space_group_name_Hall '-C 2 2'
loop_
_atom_site_label
_atom_site_fract_x
_atom_site_fract_y
_atom_site_fract_z
As1 0.000 0.000 0.000
Pt1 0.000 0.500 0.000
Cl1 0.000 0.267 0.500
# **E_form (uncorrected)**: 0.93 eV/f.u.
# **DFT total energy**: -26.9 eV per cell
# **Excess energy over the best structure of this formula in the dataset**: 710 meV per atom

[3]
# AsPt2Cl | the Alexandria database | GGA-PBE | optimized geometry
data_AsPt2Cl
_chemical_formula_sum 'As2 Pt4 Cl2'
_cell_length_a 3.342
_cell_length_b 6.037
_cell_length_c 7.653
_cell_angle_alpha 90.00
_cell_angle_beta 90.00
_cell_angle_gamma 90.00
_space_group_name_H-M_alt 'C m m m'
_space_group_IT_number 65
_space_group_name_Hall '-C 2 2'
loop_
_atom_site_label
_atom_site_fract_x
_atom_site_fract_y
_atom_site_fract_z
As1 0.000 0.000 0.000
Pt1 0.000 0.500 0.226
Cl1 0.000 0.000 0.500
# **E_form (uncorrected)**: 0.77 eV/f.u.
# **DFT total energy**: -35.6 eV per cell
# **Excess energy over the best structure of this formula in the dataset**: 387 meV per atom

Table of Fermi-level density of states (states/eV/cell), in record order: 4.0; 2.9; 3.6